! Mg2TaAg | the Alexandria database | GGA-PBE | optimized geometry; values from VASP
&SYSTEM
  ibrav = 0, nat = 4, ntyp = 3
/
ATOMIC_SPECIES
Mg 24.30 Mg.upf
Ag 107.87 Ag.upf
Ta 180.95 Ta.upf
CELL_PARAMETERS angstrom
-0.958 2.291 2.128
-0.097 -3.348 3.561
4.520 0.948 1.014
ATOMIC_POSITIONS crystal
Mg 0.500 0.500 0.000
Ag 0.000 0.500 0.500
Ta 0.500 0.000 0.500
Mg 0.000 0.000 0.000
! **Excess energy over the best structure of this formula in the dataset**: 289 meV per atom
! **DOS at the Fermi energy**: 3.9 states/eV/cell
! **DFT formation energy**: 0.35 eV/atom
! **Crystal system**: orthorhombic
! **Total moment**: 0.0 Bohr magnetons per cell
! **Space group**: No. 47
! **Electronic total energy**: -16.49 eV for the cell shown

! Li3CoGe | the Alexandria database | GGA-PBE | optimized geometry; values from VASP
&SYSTEM
  ibrav = 0, nat = 5, ntyp = 3
/
ATOMIC_SPECIES
Co 58.93 Co.upf
Li 6.94 Li.upf
Ge 72.64 Ge.upf
CELL_PARAMETERS angstrom
-0.318 1.170 4.524
3.679 -2.733 0.965
2.881 3.619 -0.733
ATOMIC_POSITIONS crystal
Co 0.500 0.500 0.500
Li 0.000 0.000 0.500
Li 0.500 0.000 0.000
Li 0.000 0.500 0.000
Ge 0.000 0.000 0.000
! **Excess energy over the best structure of this formula in the dataset**: 39 meV per atom
! **DOS at the Fermi energy**: 10.0 states/eV/cell
! **DFT formation energy**: 0.66 eV/atom
! **Crystal system**: cubic
! **Total moment**: 2.5 Bohr magnetons per cell
! **Space group**: No. 221
! **Electronic total energy**: -14.14 eV for the cell shown

! CsTiTe4 | the Alexandria database | GGA-PBE | optimized geometry; values from VASP
&SYSTEM
  ibrav = 0, nat = 12, ntyp = 3
/
ATOMIC_SPECIES
Te 127.60 Te.upf
Cs 132.91 Cs.upf
Ti 47.87 Ti.upf
CELL_PARAMETERS angstrom
6.198 0.000 0.537
0.000 9.504 0.000
-1.062 -4.752 8.144
ATOMIC_POSITIONS crystal
Te 0.723 0.319 0.637
Cs 0.787 0.829 0.658
Ti 0.727 0.488 0.976
Te 0.277 0.681 0.363
Te 0.000 0.263 0.000
Te 0.000 0.737 0.000
Te 0.398 0.207 0.783
Te 0.398 0.576 0.783
Cs 0.213 0.171 0.342
Ti 0.273 0.512 0.024
Te 0.602 0.424 0.217
Te 0.602 0.793 0.217
! **Excess energy over the best structure of this formula in the dataset**: 0 meV per atom
! **DOS at the Fermi energy**: 3.1 states/eV/cell
! **Crystal system**: monoclinic
! **Total moment**: 0.0 Bohr magnetons per cell
! **Space group**: No. 12
! **Electronic total energy**: -49.90 eV for the cell shown

! CaSc3B | the Alexandria database | GGA-PBE | optimized geometry; values from VASP
&SYSTEM
  ibrav = 0, nat = 5, ntyp = 3
/
ATOMIC_SPECIES
Sc 44.96 Sc.upf
Ca 40.08 Ca.upf
B 10.81 B.upf
CELL_PARAMETERS angstrom
-3.312 -0.999 3.585
3.532 -2.355 2.607
1.172 4.275 2.274
ATOMIC_POSITIONS crystal
Sc 0.000 0.000 0.500
Ca 0.000 0.000 0.000
Sc 0.500 0.000 0.000
B 0.500 0.500 0.500
Sc 0.000 0.500 0.000
! **Excess energy over the best structure of this formula in the dataset**: 2002 meV per atom
! **DOS at the Fermi energy**: 4.6 states/eV/cell
! **DFT formation energy**: 2.01 eV/atom
! **Crystal system**: cubic
! **Total moment**: 0.0 Bohr magnetons per cell
! **Space group**: No. 221
! **Electronic total energy**: -17.65 eV for the cell shown

! MgInB3 | the Alexandria database | GGA-PBE | optimized geometry; values from VASP
&SYSTEM
  ibrav = 0, nat = 5, ntyp = 3
/
ATOMIC_SPECIES
B 10.81 B.upf
In 114.82 In.upf
Mg 24.30 Mg.upf
CELL_PARAMETERS angstrom
4.406 0.000 0.000
0.000 4.406 0.000
0.000 0.000 4.406
ATOMIC_POSITIONS crystal
B 0.500 0.000 0.000
B 0.000 0.500 0.000
In 0.500 0.500 0.500
B 0.000 0.000 0.500
Mg 0.000 0.000 0.000
! **Excess energy over the best structure of this formula in the dataset**: 0 meV per atom
! **DOS at the Fermi energy**: 1.7 states/eV/cell
! **DFT formation energy**: 2.05 eV/atom
! **Crystal system**: cubic
! **Total moment**: 0.0 Bohr magnetons per cell
! **Space group**: No. 221
! **Electronic total energy**: -14.11 eV for the cell shown

! ScRe3N | the Alexandria database | GGA-PBE | optimized geometry; values from VASP
&SYSTEM
  ibrav = 0, nat = 5, ntyp = 3
/
ATOMIC_SPECIES
Re 186.21 Re.upf
N 14.01 N.upf
Sc 44.96 Sc.upf
CELL_PARAMETERS angstrom
4.138 0.000 0.000
0.000 4.138 0.000
0.000 0.000 4.138
ATOMIC_POSITIONS crystal
Re 0.500 0.000 0.000
N 0.000 0.000 0.000
Re 0.000 0.500 0.000
Sc 0.500 0.500 0.500
Re 0.000 0.000 0.500
! **Excess energy over the best structure of this formula in the dataset**: 0 meV per atom
! **DOS at the Fermi energy**: 6.5 states/eV/cell
! **Crystal system**: cubic
! **Total moment**: 0.0 Bohr magnetons per cell
! **Space group**: No. 221
! **Electronic total energy**: -51.59 eV for the cell shown

! TiBeIr | the Alexandria database | GGA-PBE | optimized geometry; values from VASP
&SYSTEM
  ibrav = 0, nat = 3, ntyp = 3
/
ATOMIC_SPECIES
Ir 192.22 Ir.upf
Ti 47.87 Ti.upf
Be 9.01 Be.upf
CELL_PARAMETERS angstrom
-0.331 -2.814 -0.468
3.564 -0.107 -1.877
-0.205 -0.637 3.973
ATOMIC_POSITIONS crystal
Ir 0.140 0.000 0.000
Ti 0.680 0.333 0.667
Be 0.180 0.667 0.333
! **Excess energy over the best structure of this formula in the dataset**: 110 meV per atom
! **DOS at the Fermi energy**: 3.0 states/eV/cell
! **DFT formation energy**: -0.57 eV/atom
! **Crystal system**: trigonal
! **Total moment**: 0.0 Bohr magnetons per cell
! **Space group**: No. 156
! **Electronic total energy**: -22.18 eV for the cell shown

! La2Pm4Sn3N2 | the Alexandria database | GGA-PBE | optimized geometry; values from VASP
&SYSTEM
  ibrav = 0, nat = 11, ntyp = 4
/
ATOMIC_SPECIES
Sn 118.71 Sn.upf
La 138.91 La.upf
Pm 145.00 Pm.upf
N 14.01 N.upf
CELL_PARAMETERS angstrom
-3.271 -1.102 -3.473
3.635 -1.321 -3.004
-0.874 -10.959 7.754
ATOMIC_POSITIONS crystal
Sn 0.174 0.174 0.347
La 0.308 0.308 0.616
Pm 0.417 0.917 0.834
Pm 0.083 0.583 0.166
La 0.692 0.692 0.384
N 0.398 0.398 0.795
Sn 0.826 0.826 0.653
N 0.602 0.602 0.205
Sn 0.000 0.000 0.000
Pm 0.917 0.417 0.834
Pm 0.583 0.083 0.166
! **DOS at the Fermi energy**: 2.0 states/eV/cell
! **Crystal system**: tetragonal
! **Total moment**: 0.0 Bohr magnetons per cell
! **Space group**: No. 139
! **Electronic total energy**: -68.44 eV for the cell shown

! DyMgAl2Cu4 | the Alexandria database | GGA-PBE | optimized geometry; values from VASP
&SYSTEM
  ibrav = 0, nat = 8, ntyp = 4
/
ATOMIC_SPECIES
Cu 63.55 Cu.upf
Al 26.98 Al.upf
Dy 162.50 Dy.upf
Mg 24.30 Mg.upf
CELL_PARAMETERS angstrom
-1.576 3.333 2.098
-4.122 0.124 0.994
-0.266 -2.636 8.277
ATOMIC_POSITIONS crystal
Cu 0.601 0.601 0.197
Cu 0.881 0.881 0.357
Cu 0.399 0.399 0.803
Al 0.244 0.244 0.268
Dy 0.000 0.000 0.000
Mg 0.500 0.500 0.500
Cu 0.119 0.119 0.643
Al 0.756 0.756 0.732
! **DOS at the Fermi energy**: 4.4 states/eV/cell
! **DFT formation energy**: -0.25 eV/atom
! **Crystal system**: trigonal
! **Total moment**: 0.0 Bohr magnetons per cell
! **Space group**: No. 166
! **Electronic total energy**: -32.08 eV for the cell shown

! AlZnSi2 | the Alexandria database | GGA-PBE | optimized geometry; values from VASP
&SYSTEM
  ibrav = 0, nat = 4, ntyp = 3
/
ATOMIC_SPECIES
Si 28.09 Si.upf
Zn 65.41 Zn.upf
Al 26.98 Al.upf
CELL_PARAMETERS angstrom
-2.448 -0.273 -1.320
2.170 -1.479 -0.954
-2.229 -6.854 5.554
ATOMIC_POSITIONS crystal
Si 0.000 0.000 0.501
Si 0.000 0.000 0.999
Zn 0.500 0.500 0.250
Al 0.500 0.500 0.750
! **Excess energy over the best structure of this formula in the dataset**: 113 meV per atom
! **DOS at the Fermi energy**: 1.5 states/eV/cell
! **Crystal system**: orthorhombic
! **Total moment**: 0.0 Bohr magnetons per cell
! **Space group**: No. 65
! **Electronic total energy**: -14.53 eV for the cell shown

! Pr6MnSi2S14 | the Alexandria database | GGA-PBE | optimized geometry; values from VASP
&SYSTEM
  ibrav = 0, nat = 23, ntyp = 4
/
ATOMIC_SPECIES
S 32.06 S.upf
Si 28.09 Si.upf
Pr 140.91 Pr.upf
Mn 54.94 Mn.upf
CELL_PARAMETERS angstrom
10.295 0.000 0.000
-5.147 8.916 0.000
0.000 0.000 5.746
ATOMIC_POSITIONS crystal
S 0.838 0.756 0.249
S 0.756 0.916 0.727
S 0.084 0.840 0.727
Si 0.667 0.333 0.341
S 0.244 0.082 0.249
S 0.918 0.162 0.249
S 0.160 0.244 0.727
S 0.477 0.592 0.977
S 0.333 0.667 0.467
S 0.115 0.523 0.977
Pr 0.877 0.234 0.754
Si 0.333 0.667 0.833
Mn 0.000 0.000 0.490
S 0.523 0.409 0.483
S 0.886 0.477 0.483
Pr 0.643 0.878 0.248
Pr 0.122 0.766 0.248
Pr 0.234 0.357 0.248
S 0.667 0.333 0.974
S 0.408 0.885 0.977
Pr 0.766 0.643 0.754
Pr 0.357 0.123 0.754
S 0.591 0.114 0.483
! **Crystal system**: trigonal
! **Total moment**: 5.0 Bohr magnetons per cell
! **Space group**: No. 143
! **Electronic total energy**: -143.60 eV for the cell shown

! Ta3VSe | the Alexandria database | GGA-PBE | optimized geometry; values from VASP
&SYSTEM
  ibrav = 0, nat = 5, ntyp = 3
/
ATOMIC_SPECIES
Se 78.96 Se.upf
Ta 180.95 Ta.upf
V 50.94 V.upf
CELL_PARAMETERS angstrom
4.689 0.000 0.000
0.000 4.689 0.000
0.000 0.000 4.689
ATOMIC_POSITIONS crystal
Se 0.500 0.500 0.500
Ta 0.000 0.500 0.000
Ta 0.000 0.000 0.500
Ta 0.500 0.000 0.000
V 0.000 0.000 0.000
! **Excess energy over the best structure of this formula in the dataset**: 98 meV per atom
! **DOS at the Fermi energy**: 3.7 states/eV/cell
! **Crystal system**: cubic
! **Total moment**: 0.0 Bohr magnetons per cell
! **Space group**: No. 221
! **Electronic total energy**: -42.40 eV for the cell shown

> The highest total moment belongs to which entry?

Pr6MnSi2S14